Record 1
Density functional theory data (PBE) for a geometry-optimized PrY2TcN4 structure.

a b c (Å): 3.4799 6.1364 11.6572
angles (deg): 90.00 90.00 106.47
Element x y z (fractional)
N (0.7369, 0.4737, 0.6273)
N (0.4369, 0.8737, 0.7500)
N (0.5631, 0.1263, 0.2500)
N (0.0000, 0.0000, 0.5000)
N (0.2631, 0.5263, 0.3727)
N (0.7369, 0.4737, 0.8727)
N (0.0000, 0.0000, 0.0000)
N (0.2631, 0.5263, 0.1273)
Y (0.6314, 0.2627, 0.4599)
Y (0.3686, 0.7373, 0.9599)
Y (0.6314, 0.2627, 0.0401)
Y (0.3686, 0.7373, 0.5401)
Pr (0.1208, 0.2415, 0.7500)
Pr (0.8792, 0.7585, 0.2500)
Tc (0.1432, 0.2865, 0.2500)
Tc (0.8568, 0.7135, 0.7500)


Record 2
Density functional theory data (PBE) for a geometry-optimized TbDy8Y6 structure.

Results
ΔE_f, eV per formula unit: 1.834

a b c (Å): 9.0437 9.0437 8.6201
angles (deg): 58.36 58.36 60.00
Element x y z (fractional)
Dy (0.2800, 0.8894, 0.5758)
Dy (0.4237, 0.4237, 0.7289)
Dy (0.7453, 0.7200, 0.4242)
Dy (0.8894, 0.2547, 0.5758)
Dy (0.5763, 0.5763, 0.2711)
Dy (0.2547, 0.2800, 0.5758)
Dy (0.7200, 0.1106, 0.4242)
Dy (0.1106, 0.7453, 0.4242)
Y (0.1062, 0.2325, 0.1217)
Y (0.4604, 0.8938, 0.8783)
Y (0.8938, 0.7675, 0.8783)
Y (0.7675, 0.4604, 0.8783)
Y (0.5396, 0.1062, 0.1217)
Y (0.2325, 0.5396, 0.1217)
Tb (0.0000, 0.0000, 0.0000)


Record 3
Density functional theory data (PBE) for a geometry-optimized Dy3ThC3 structure.

Results
ΔE_f, eV per formula unit: -1.607

a b c (Å): 9.0308 9.0308 9.0308
angles (deg): 109.47 109.47 109.47
Element x y z (fractional)
Dy (0.7500, 0.0108, 0.4892)
Dy (0.2609, 0.2500, 0.7392)
Dy (0.5108, 0.4892, 0.2500)
Dy (0.5108, 0.0217, 0.7608)
Dy (0.2392, 0.4783, 0.4892)
Dy (0.9783, 0.4892, 0.7392)
Dy (0.9892, 0.7392, 0.4783)
Dy (0.9892, 0.2500, 0.0108)
Dy (0.2392, 0.7608, 0.2500)
Dy (0.5217, 0.7608, 0.0108)
Dy (0.7500, 0.7392, 0.7608)
Dy (0.2609, 0.0108, 0.0217)
C (0.4927, 0.2463, 0.9963)
C (0.7463, 0.7500, 0.2537)
C (0.7537, 0.5073, 0.5037)
C (0.2500, 0.2537, 0.2463)
C (0.4963, 0.9927, 0.2463)
C (0.7463, 0.9963, 0.9927)
C (0.0037, 0.7500, 0.9963)
C (0.0073, 0.5037, 0.2537)
C (0.4963, 0.5037, 0.7500)
C (0.2500, 0.9963, 0.5037)
C (0.0037, 0.2537, 0.5073)
C (0.7537, 0.2463, 0.7500)
Th (0.7500, 0.2500, 0.2500)
Th (0.7500, 0.5000, 0.0000)
Th (0.0000, 0.0000, 0.2500)
Th (0.5000, 0.2500, 0.5000)


Record 4
Density functional theory data (PBE) for a geometry-optimized Mn2V2In structure.

Results
ΔE_f, eV per formula unit: 1.356

a b c (Å): 7.2609 7.2609 2.8580
angles (deg): 90.00 90.00 90.00
Element x y z (fractional)
In (0.0000, 0.0000, 0.0000)
In (0.5000, 0.5000, 0.0000)
Mn (0.1416, 0.6416, 0.5000)
Mn (0.3584, 0.1416, 0.5000)
Mn (0.8584, 0.3584, 0.5000)
Mn (0.6416, 0.8584, 0.5000)
V (0.3592, 0.8592, 0.0000)
V (0.6408, 0.1408, 0.0000)
V (0.8592, 0.6408, 0.0000)
V (0.1408, 0.3592, 0.0000)


Record 5
Density functional theory data (PBE) for a geometry-optimized LiAgRu2 structure.

Results
ΔE_f, eV per formula unit: 0.953

a b c (Å): 4.5372 4.5372 5.0719
angles (deg): 83.54 83.54 34.72
Element x y z (fractional)
Ag (0.4966, 0.4966, 0.4636)
Ru (0.7501, 0.7501, 0.8006)
Ru (0.0055, 0.0055, 0.9652)
Li (0.2479, 0.2479, 0.2705)


Record 6
Density functional theory data (PBE) for a geometry-optimized NaPr2Au structure.

Results
ΔE_f, eV per formula unit: -0.660

a b c (Å): 4.0436 4.0436 10.4199
angles (deg): 78.81 78.81 60.00
Element x y z (fractional)
Pr (0.2709, 0.2709, 0.1872)
Pr (0.7291, 0.7291, 0.8128)
Au (0.0000, 0.0000, 0.0000)
Na (0.5000, 0.5000, 0.5000)


Record 7
Density functional theory data (PBE) for a geometry-optimized LaTcAs structure.

Results
ΔE_f, eV per formula unit: -1.483

a b c (Å): 4.2789 4.2789 4.3123
angles (deg): 90.00 90.00 120.00
Element x y z (fractional)
La (0.6667, 0.3333, 0.3333)
As (0.0000, 0.0000, 0.8334)
Tc (0.3333, 0.6667, 0.8334)


Record 8
Density functional theory data (PBE) for a geometry-optimized Ca3Bi2Au structure.

Results
ΔE_f, eV per formula unit: -4.015

a b c (Å): 8.3745 7.1814 8.0225
angles (deg): 82.21 76.56 54.33
Element x y z (fractional)
Ca (0.5705, 0.3387, 0.2580)
Ca (0.7107, 0.0000, 0.7849)
Ca (0.0908, 0.3387, 0.7420)
Ca (0.9092, 0.6613, 0.2580)
Ca (0.2893, 0.0000, 0.2151)
Ca (0.4295, 0.6613, 0.7420)
Au (0.6970, 0.6060, 0.0000)
Au (0.3030, 0.3940, 0.0000)
Bi (0.8609, 0.2781, 0.5000)
Bi (0.1391, 0.7219, 0.5000)
Bi (0.0000, 0.0000, 0.0000)
Bi (0.5000, 0.0000, 0.5000)


no.,total energy (eV for the cell shown)
1,-139.81
2,-78.40
3,-202.02
4,-75.92
5,-22.36
6,-14.82
7,-21.43
8,-42.12